## Pm6Ga2Ni (PBE)

Data for a geometry-optimized Pm6Ga2Ni structure.

Cell: 5.0301 7.1517 14.8453 Å, 90.00 90.00 90.00°
Space group Immm (No. 71)
Unique sites:
Pm: 0.0000 0.2360 0.0000
Pm: 0.0000 0.2566 0.3401
Ga: 0.0000 0.5000 0.1667
Ni: 0.0000 0.5000 0.5000

Calculated values
The value obtained for the formation energy is -177 meV per atom. The calculated volume is 534.04 Å³ per cell.



## NdGdGe (PBE)

Data for a geometry-optimized NdGdGe structure.

Cell: 4.7751 4.7751 4.2561 Å, 90.00 90.00 120.00°
Space group P3m1 (No. 156)
Unique sites:
Nd: 0.0000 0.0000 0.0000
Gd: 0.3333 0.6667 0.4635
Ge: 0.6667 0.3333 0.6481

Calculated values
The value obtained for the formation energy is -402 meV per atom. The calculated volume is 84.04 Å³ per cell.



## Ac2Zn4GaGe3 (PBE)

Data for a geometry-optimized Ac2Zn4GaGe3 structure.

Cell: 4.5040 4.5040 10.4456 Å, 90.00 90.00 90.00°
Space group P-4m2 (No. 115)
Unique sites:
Ac: 0.0000 0.5000 0.2476
Zn: 0.0000 0.0000 0.5000
Zn: 0.0000 0.5000 0.8741
Zn: 0.5000 0.5000 0.5000
Ga: 0.5000 0.5000 0.0000
Ge: 0.0000 0.0000 0.0000
Ge: 0.0000 0.5000 0.6321

Calculated values
The value obtained for the formation energy is -458 meV per atom. The calculated volume is 211.90 Å³ per cell.



| no. | final energy (eV per cell) |
| --- | --- |
| 1 | -83.862 |
| 2 | -24.672 |
| 3 | -34.772 |